This record from Alexandria via LeMat-Bulk describes a geometry-optimized ReP2RuCl structure. The functional is GGA-PBE.

As for the crystal system: tetragonal. For the energy, the calculation gives -5.58 eV per atom. The value obtained for the formation energy without anion corrections is 1.30 eV per atom. The total moment comes out at 0.746 μB per atom. For the energy above the most stable polymorph in this dataset, the calculation gives 0.186 eV per atom.

Cell lengths 4.552, 4.552, 4.805 Å; angles 90.00, 90.00, 90.00 degrees
Space group P4/mmm (No. 123)
Unique sites:
Re: 0.000 0.000 0.000 x1
P: 0.000 0.500 0.500 x2
Ru: 0.500 0.500 0.500 x1
Cl: 0.500 0.500 0.000 x1